# 1
Entry from Alexandria via LeMat-Bulk: an optimized crystal structure of Si2AgTe (PBE).

Structure (POSCAR):
```
Si2AgTe
1.0
-2.339 1.538 -2.849
2.593 -1.221 -2.787
-2.519 -4.512 -0.367
Ag Si Te
1 2 1
direct
0.000 0.500 0.500 Ag
0.000 0.000 0.000 Si
0.500 0.500 0.000 Si
0.500 0.000 0.500 Te
```

Energy above the most stable polymorph in this dataset ... 0.314 eV per atom
Energy relative to the elements, uncorrected ... 567.2 meV per atom

---

# 2
Entry from Alexandria via LeMat-Bulk: an optimized crystal structure of Ca3HfPa3N8 (PBE).

Structure (POSCAR):
```
Ca3HfPa3N8
1.0
-4.303 -3.627 4.082
5.676 -3.033 -2.632
0.640 4.845 4.979
Ca Hf Pa N
3 1 3 8
direct
0.000 0.000 0.000 Ca
0.000 0.500 0.000 Ca
0.500 0.500 0.000 Ca
0.000 0.000 0.500 Hf
0.500 0.000 0.500 Pa
0.500 0.500 0.500 Pa
0.000 0.500 0.500 Pa
0.258 0.515 0.273 N
0.742 0.485 0.727 N
0.774 0.549 0.307 N
0.226 0.451 0.693 N
0.774 0.033 0.307 N
0.226 0.967 0.693 N
0.258 0.033 0.307 N
0.742 0.967 0.693 N
```

Energy relative to the elements, uncorrected ... -1461.0 meV per atom

---

# 3
Entry from Alexandria via LeMat-Bulk: an optimized crystal structure of Na3CaCe2S6 (PBE).

Structure (POSCAR):
```
Na3CaCe2S6
1.0
-2.530 -3.847 5.401
3.072 -3.230 -5.523
5.694 2.759 3.076
Na Ca Ce S
3 1 2 6
direct
0.165 0.835 0.500 Na
0.835 0.165 0.500 Na
0.500 0.500 0.500 Na
0.000 0.000 0.000 Ca
0.333 0.667 0.000 Ce
0.667 0.333 0.000 Ce
0.923 0.582 0.771 S
0.736 0.736 0.231 S
0.077 0.418 0.229 S
0.582 0.923 0.771 S
0.264 0.264 0.769 S
0.418 0.077 0.229 S
```

Energy relative to the elements, uncorrected ... -1741.4 meV per atom

---

# 4
Entry from Alexandria via LeMat-Bulk: an optimized crystal structure of Ga2SnF (PBE).

Structure (POSCAR):
```
Ga2SnF
1.0
4.953 0.000 0.000
0.000 4.953 0.000
2.477 2.477 7.242
Sn Ga F
2 4 2
direct
0.000 0.000 0.000 Sn
0.750 0.250 0.500 Sn
0.509 0.125 0.250 Ga
0.241 0.625 0.250 Ga
0.375 0.491 0.750 Ga
0.875 0.759 0.750 Ga
0.500 0.500 0.000 F
0.250 0.750 0.500 F
```

Energy relative to the elements, uncorrected ... -551.6 meV per atom

---

# 5
Entry from Alexandria via LeMat-Bulk: an optimized crystal structure of Cd4InAu (PBE).

Structure (POSCAR):
```
Cd4InAu
1.0
0.000 4.101 4.101
4.101 0.000 4.101
4.101 4.101 0.000
Cd In Au
4 1 1
direct
0.876 0.375 0.375 Cd
0.375 0.375 0.876 Cd
0.375 0.876 0.375 Cd
0.375 0.375 0.375 Cd
0.750 0.750 0.750 In
0.000 0.000 0.000 Au
```

Energy above the most stable polymorph in this dataset ... 0.131 eV per atom
Formation enthalpy at 0 K ... 0.092 eV/atom

---

# 6
Entry from Alexandria via LeMat-Bulk: an optimized crystal structure of HoPaPt (PBE).

Structure (POSCAR):
```
HoPaPt
1.0
-2.604 2.529 0.000
-4.881 -2.423 -2.601
-5.254 -2.806 0.990
Ho Pa Pt
1 1 1
direct
0.552 0.901 0.901 Ho
0.254 0.199 0.199 Pa
0.877 0.576 0.576 Pt
```

Energy above the most stable polymorph in this dataset ... 0.000 eV per atom
Formation enthalpy at 0 K ... -0.581 eV/atom

---

# 7
Entry from Alexandria via LeMat-Bulk: an optimized crystal structure of Y2PuAlS6 (PBE).

Structure (POSCAR):
```
Y2PuAlS6
1.0
6.740 0.000 0.000
3.370 5.837 0.000
3.370 1.946 6.006
Y Pu Al S
2 1 1 6
direct
0.522 0.522 0.433 Y
0.019 0.019 0.943 Y
0.817 0.817 0.548 Pu
0.321 0.321 0.036 Al
0.581 0.215 0.246 S
0.215 0.958 0.246 S
0.958 0.581 0.246 S
0.424 0.686 0.772 S
0.686 0.117 0.772 S
0.117 0.424 0.772 S
```

Energy relative to the elements, uncorrected ... -1610.3 meV per atom

---

# 8
Entry from Alexandria via LeMat-Bulk: an optimized crystal structure of AlInIF2 (PBE).

Structure (POSCAR):
```
AlInIF2
1.0
4.533 0.000 0.000
0.000 6.468 0.000
0.000 0.000 4.533
I F Al In
1 2 1 1
direct
0.000 0.500 0.000 I
0.000 0.000 0.500 F
0.500 0.000 0.000 F
0.500 0.500 0.500 Al
0.000 0.000 0.000 In
```

Energy relative to the elements, uncorrected ... -1110.2 meV per atom